1.
Material: Ta2ZnBr
Method: DFT, SCAN
State: single point on PBEsol structure

Cell and atoms, written as POSCAR:
```
Ta2ZnBr
1.0
3.127 0.000 0.000
0.000 4.631 0.000
0.000 0.000 4.831
Ta Zn Br
2 1 1
direct
0.000 0.000 0.000
0.500 0.000 0.500
0.000 0.500 0.500
0.500 0.500 0.000
```

Results
* final energy: -40.9177 eV/atom
* SG: No. 47
* offset from the most stable computed form: 1.09 eV/f.u.
* raw formation energy: 0.618 eV/atom

=====

2.
Material: InTcNi2
Method: DFT, SCAN
State: single point on PBEsol structure

Cell and atoms, written as POSCAR:
```
InTcNi2
1.0
4.427 0.000 0.000
0.000 4.427 0.000
0.000 0.000 2.733
In Tc Ni
1 1 2
direct
0.000 0.000 0.000
0.500 0.500 0.000
0.000 0.500 0.500
0.500 0.000 0.500
```

Results
* final energy: -25.0081 eV/atom
* SG: No. 123
* energy of formation from the pure elements: 0.19 eV per atom

=====

3.
Material: Ge3Sb2Te6
Method: DFT, SCAN
State: single point on PBEsol structure

Cell and atoms, written as POSCAR:
```
Ge3Sb2Te6
1.0
2.094 1.209 20.616
-2.094 1.209 20.616
0.000 -2.419 20.616
Ge Sb Te
3 2 6
direct
0.000 0.000 0.000
0.090 0.090 0.090
0.276 0.276 0.276
0.549 0.549 0.549
0.817 0.817 0.817
0.183 0.183 0.183
0.356 0.356 0.356
0.456 0.456 0.456
0.633 0.633 0.633
0.733 0.733 0.733
0.911 0.911 0.911
```

Results
* final energy: -32.3501 eV/atom
* SG: No. 160
* raw formation energy: -0.051 eV/atom

=====

4.
Material: ZrZn2Sb
Method: DFT, SCAN
State: single point on PBEsol structure

Cell and atoms, written as POSCAR:
```
ZrZn2Sb
1.0
4.163 0.000 0.000
0.000 4.163 0.000
0.000 0.000 4.183
Zr Zn Sb
1 2 1
direct
0.000 0.000 0.000
0.000 0.500 0.500
0.500 0.000 0.500
0.500 0.500 0.000
```

Results
* final energy: -24.0498 eV/atom
* SG: No. 123
* raw formation energy: -0.302 eV/atom